# CsPa4Pd3S12 PBE relaxed
# Raw total energy: -252.95 eV per cell
# Formation energy without anion corrections: -22.5 eV per formula unit
data_CsPa4Pd3S12
_chemical_formula_sum 'Cs2 Pa8 Pd6 S24'
_space_group_name_H-M_alt 'I m -3'
_space_group_IT_number 204
_space_group_name_Hall '-I 2 2 3'
_cell_length_a 9.841
_cell_length_b 9.841
_cell_length_c 9.841
_cell_angle_alpha 90.00
_cell_angle_beta 90.00
_cell_angle_gamma 90.00
loop_
_atom_site_label
_atom_site_type_symbol
_atom_site_fract_x
_atom_site_fract_y
_atom_site_fract_z
_atom_site_occupancy
Cs1 Cs 0.000 0.000 0.000 1
Pa1 Pa 0.250 0.250 0.250 1
Pd1 Pd 0.000 0.000 0.500 1
S1 S 0.000 0.168 0.318 1

=====

# Cs4Sm3ScS8 PBE relaxed
# Raw total energy: -255.79 eV per cell
# Formation energy without anion corrections: -28.3 eV per formula unit
data_Cs4Sm3ScS8
_chemical_formula_sum 'Cs12 Sm9 Sc3 S24'
_space_group_name_H-M_alt 'R -3 m'
_space_group_IT_number 166
_space_group_name_Hall '-R 3 2"'
_cell_length_a 8.2512
_cell_length_b 8.2512
_cell_length_c 24.1959
_cell_angle_alpha 90.00
_cell_angle_beta 90.00
_cell_angle_gamma 120.00
loop_
_atom_site_label
_atom_site_type_symbol
_atom_site_fract_x
_atom_site_fract_y
_atom_site_fract_z
_atom_site_occupancy
Cs1 Cs 0.0000 0.0000 0.0000 1
Cs2 Cs 0.0000 0.5000 0.0000 1
Sm1 Sm 0.0000 0.5000 0.5000 1
Sc1 Sc 0.0000 0.0000 0.5000 1
S1 S 0.0000 0.0000 0.2290 1
S2 S 0.0154 0.5077 0.2267 1

=====

# Tb6PmSm PBE relaxed
# Raw total energy: -37.11 eV per cell
# Formation energy: 18 meV per atom
data_Tb6PmSm
_chemical_formula_sum 'Tb6 Pm1 Sm1'
_space_group_name_H-M_alt 'P 4/m m m'
_space_group_IT_number 123
_space_group_name_Hall '-P 4 2'
_cell_length_a 5.061
_cell_length_b 5.061
_cell_length_c 10.124
_cell_angle_alpha 90.00
_cell_angle_beta 90.00
_cell_angle_gamma 90.00
loop_
_atom_site_label
_atom_site_type_symbol
_atom_site_fract_x
_atom_site_fract_y
_atom_site_fract_z
_atom_site_occupancy
Tb1 Tb 0.000 0.000 0.000 1
Tb2 Tb 0.000 0.000 0.500 1
Tb3 Tb 0.000 0.500 0.250 1
Pm1 Pm 0.500 0.500 0.000 1
Sm1 Sm 0.500 0.500 0.500 1

=====

# TbPr2Th3Te6 PBE relaxed
# Raw total energy: -139.10 eV per cell
# Formation energy without anion corrections: -14.3 eV per formula unit
data_TbPr2Th3Te6
_chemical_formula_sum 'Tb2 Pr4 Th6 Te12'
_space_group_name_H-M_alt 'C 1 2/m 1'
_space_group_IT_number 12
_space_group_name_Hall '-C 2y'
_cell_length_a 19.914
_cell_length_b 4.391
_cell_length_c 9.117
_cell_angle_alpha 90.00
_cell_angle_beta 108.01
_cell_angle_gamma 90.00
loop_
_atom_site_label
_atom_site_type_symbol
_atom_site_fract_x
_atom_site_fract_y
_atom_site_fract_z
_atom_site_occupancy
Tb1 Tb 0.000 0.000 0.000 1
Pr1 Pr 0.167 0.500 0.334 1
Th1 Th 0.000 0.000 0.500 1
Th2 Th 0.171 0.500 0.838 1
Te1 Te 0.002 0.500 0.759 1
Te2 Te 0.162 0.000 0.081 1
Te3 Te 0.167 0.000 0.585 1

=====

# BaNpNi10 PBE relaxed
# Raw total energy: -72.94 eV per cell
# Formation energy: -22 meV per atom
data_BaNpNi10
_chemical_formula_sum 'Ba1 Np1 Ni10'
_space_group_name_H-M_alt 'P m m m'
_space_group_IT_number 47
_space_group_name_Hall '-P 2 2'
_cell_length_a 3.961
_cell_length_b 5.019
_cell_length_c 8.714
_cell_angle_alpha 90.00
_cell_angle_beta 90.00
_cell_angle_gamma 90.00
loop_
_atom_site_label
_atom_site_type_symbol
_atom_site_fract_x
_atom_site_fract_y
_atom_site_fract_z
_atom_site_occupancy
Ba1 Ba 0.000 0.000 0.000 1
Np1 Np 0.000 0.500 0.500 1
Ni1 Ni 0.000 0.000 0.346 1
Ni2 Ni 0.000 0.500 0.190 1
Ni3 Ni 0.500 0.000 0.500 1
Ni4 Ni 0.500 0.260 0.268 1
Ni5 Ni 0.500 0.500 0.000 1

=====

# Pm5HPb2 PBE relaxed
# Raw total energy: -73.76 eV per cell
data_Pm5HPb2
_chemical_formula_sum 'Pm10 H2 Pb4'
_space_group_name_H-M_alt 'I 4 m m'
_space_group_IT_number 107
_space_group_name_Hall 'I 4 -2'
_cell_length_a 7.131
_cell_length_b 7.131
_cell_length_c 9.172
_cell_angle_alpha 90.00
_cell_angle_beta 90.00
_cell_angle_gamma 90.00
loop_
_atom_site_label
_atom_site_type_symbol
_atom_site_fract_x
_atom_site_fract_y
_atom_site_fract_z
_atom_site_occupancy
Pm1 Pm 0.000 0.000 0.000 1
Pm2 Pm 0.249 0.249 0.246 1
H1 H 0.000 0.000 0.255 1
Pb1 Pb 0.000 0.500 0.497 1

=====

no.,M_tot (μB per formula unit)
1,1.0
2,0.0
3,0.0
4,0.0
5,0.3
6,0.0